[1]
Entry from Alexandria: a relaxed structure of KBaSrCd (GGA-PBE).

The structure in CIF format:
```
data_KBaSrCd
_chemical_formula_sum 'K4 Ba4 Sr4 Cd4'
_cell_length_a 8.944
_cell_length_b 8.944
_cell_length_c 8.944
_cell_angle_alpha 90.00
_cell_angle_beta 90.00
_cell_angle_gamma 90.00
_space_group_name_H-M_alt 'F -4 3 m'
_space_group_IT_number 216
_space_group_name_Hall 'F -4 2 3'
loop_
_atom_site_label
_atom_site_type_symbol
_atom_site_fract_x
_atom_site_fract_y
_atom_site_fract_z
_atom_site_occupancy
K1 K 0.000 0.000 0.000 1
Ba1 Ba 0.250 0.250 0.250 1
Sr1 Sr 0.250 0.250 0.750 1
Cd1 Cd 0.000 0.000 0.500 1
```

Properties
calculated total energy = -0.0513 Ha/atom


[2]
Entry from Alexandria: a relaxed structure of KBa2SrCd (GGA-PBE).

The structure in CIF format:
```
data_KBa2SrCd
_chemical_formula_sum 'K1 Ba2 Sr1 Cd1'
_cell_length_a 6.803
_cell_length_b 6.803
_cell_length_c 6.634
_cell_angle_alpha 90.00
_cell_angle_beta 90.00
_cell_angle_gamma 90.00
_space_group_name_H-M_alt 'P 4/m m m'
_space_group_IT_number 123
_space_group_name_Hall '-P 4 2'
loop_
_atom_site_label
_atom_site_type_symbol
_atom_site_fract_x
_atom_site_fract_y
_atom_site_fract_z
_atom_site_occupancy
K1 K 0.000 0.000 0.000 1
Ba1 Ba 0.000 0.500 0.500 1
Sr1 Sr 0.500 0.500 0.000 1
Cd1 Cd 0.500 0.500 0.500 1
```

Properties
calculated total energy = -0.0562 Ha/atom
distance to the lowest polymorph of the same formula = 0 meV per atom


[3]
Entry from Alexandria: a relaxed structure of KBa2SrCd (GGA-PBE).

The structure in CIF format:
```
data_KBa2SrCd
_chemical_formula_sum 'K1 Ba2 Sr1 Cd1'
_cell_length_a 6.780
_cell_length_b 6.780
_cell_length_c 6.682
_cell_angle_alpha 90.00
_cell_angle_beta 90.00
_cell_angle_gamma 90.00
_space_group_name_H-M_alt 'P 4/m m m'
_space_group_IT_number 123
_space_group_name_Hall '-P 4 2'
loop_
_atom_site_label
_atom_site_type_symbol
_atom_site_fract_x
_atom_site_fract_y
_atom_site_fract_z
_atom_site_occupancy
K1 K 0.000 0.000 0.000 1
Ba1 Ba 0.000 0.500 0.500 1
Sr1 Sr 0.500 0.500 0.000 1
Cd1 Cd 0.000 0.000 0.500 1
```

Properties
calculated total energy = -0.0531 Ha/atom
distance to the lowest polymorph of the same formula = 84 meV per atom


[4]
Entry from Alexandria: a relaxed structure of K2BaCd2Te4 (GGA-PBE).

The structure in CIF format:
```
data_K2BaCd2Te4
_chemical_formula_sum 'K4 Ba2 Cd4 Te8'
_cell_length_a 18.233
_cell_length_b 4.718
_cell_length_c 9.076
_cell_angle_alpha 90.00
_cell_angle_beta 113.10
_cell_angle_gamma 90.00
_space_group_name_H-M_alt 'C 1 2/m 1'
_space_group_IT_number 12
loop_
_space_group_symop_operation_xyz
'x,y,z'
'-x,-y,-z'
'-x,y,-z'
'x,-y,z'
'x+1/2,y+1/2,z'
'-x+1/2,-y+1/2,-z'
'-x+1/2,y+1/2,-z'
'x+1/2,-y+1/2,z'
loop_
_atom_site_label
_atom_site_type_symbol
_atom_site_fract_x
_atom_site_fract_y
_atom_site_fract_z
_atom_site_occupancy
K1 K 0.118 0.000 0.065 1
Ba1 Ba 0.000 0.000 0.500 1
Cd1 Cd 0.173 0.500 0.479 1
Te1 Te 0.018 0.500 0.237 1
Te2 Te 0.215 0.000 0.690 1
```

Properties
calculated total energy = -0.1112 Ha/atom
ΔE_f (raw) = -969 meV per atom


[5]
Entry from Alexandria: a relaxed structure of KBaTlCd (GGA-PBE).

The structure in CIF format:
```
data_KBaTlCd
_chemical_formula_sum 'K4 Ba4 Tl4 Cd4'
_cell_length_a 8.481
_cell_length_b 8.481
_cell_length_c 8.481
_cell_angle_alpha 90.00
_cell_angle_beta 90.00
_cell_angle_gamma 90.00
_space_group_name_H-M_alt 'F -4 3 m'
_space_group_IT_number 216
_space_group_name_Hall 'F -4 2 3'
loop_
_atom_site_label
_atom_site_type_symbol
_atom_site_fract_x
_atom_site_fract_y
_atom_site_fract_z
_atom_site_occupancy
K1 K 0.000 0.000 0.000 1
Ba1 Ba 0.000 0.000 0.500 1
Tl1 Tl 0.250 0.250 0.250 1
Cd1 Cd 0.250 0.250 0.750 1
```

Properties
calculated total energy = -0.0637 Ha/atom


[6]
Entry from Alexandria: a relaxed structure of KBaZnCd (GGA-PBE).

The structure in CIF format:
```
data_KBaZnCd
_chemical_formula_sum 'K4 Ba4 Zn4 Cd4'
_cell_length_a 8.332
_cell_length_b 8.332
_cell_length_c 8.332
_cell_angle_alpha 90.00
_cell_angle_beta 90.00
_cell_angle_gamma 90.00
_space_group_name_H-M_alt 'F -4 3 m'
_space_group_IT_number 216
_space_group_name_Hall 'F -4 2 3'
loop_
_atom_site_label
_atom_site_type_symbol
_atom_site_fract_x
_atom_site_fract_y
_atom_site_fract_z
_atom_site_occupancy
K1 K 0.000 0.000 0.000 1
Ba1 Ba 0.000 0.000 0.500 1
Zn1 Zn 0.250 0.250 0.250 1
Cd1 Cd 0.250 0.250 0.750 1
```

Properties
calculated total energy = -0.0494 Ha/atom


[7]
Entry from Alexandria: a relaxed structure of BaLaCd (GGA-PBE).

The structure in CIF format:
```
data_BaLaCd
_chemical_formula_sum 'Ba1 La1 Cd1'
_cell_length_a 5.6107
_cell_length_b 5.6107
_cell_length_c 4.0274
_cell_angle_alpha 90.00
_cell_angle_beta 90.00
_cell_angle_gamma 120.00
_space_group_name_H-M_alt 'P 3 m 1'
_space_group_IT_number 156
loop_
_space_group_symop_operation_xyz
'x,y,z'
'-y,x-y,z'
'-x+y,-x,z'
'-y,-x,z'
'-x+y,y,z'
'x,x-y,z'
loop_
_atom_site_label
_atom_site_type_symbol
_atom_site_fract_x
_atom_site_fract_y
_atom_site_fract_z
_atom_site_occupancy
Ba1 Ba 0.0000 0.0000 0.0000 1
La1 La 0.3333 0.6667 0.5983 1
Cd1 Cd 0.6667 0.3333 0.3670 1
```

Properties
calculated total energy = -0.0955 Ha/atom
distance to the lowest polymorph of the same formula = 135 meV per atom


[8]
Entry from Alexandria: a relaxed structure of BaLa3Cd4 (GGA-PBE).

The structure in CIF format:
```
data_BaLa3Cd4
_chemical_formula_sum 'Ba2 La6 Cd8'
_cell_length_a 11.302
_cell_length_b 8.065
_cell_length_c 5.650
_cell_angle_alpha 90.00
_cell_angle_beta 90.00
_cell_angle_gamma 90.00
_space_group_name_H-M_alt 'P m m a'
_space_group_IT_number 51
loop_
_space_group_symop_operation_xyz
'x,y,z'
'-x,-y,-z'
'-x+1/2,-y,z'
'x+1/2,y,-z'
'x+1/2,-y,-z'
'-x+1/2,y,z'
'-x,y,-z'
'x,-y,z'
loop_
_atom_site_label
_atom_site_type_symbol
_atom_site_fract_x
_atom_site_fract_y
_atom_site_fract_z
_atom_site_occupancy
Ba1 Ba 0.000 0.000 0.000 1
La1 La 0.000 0.500 0.000 1
La2 La 0.250 0.000 0.498 1
La3 La 0.250 0.500 0.498 1
Cd1 Cd 0.000 0.265 0.500 1
Cd2 Cd 0.250 0.264 0.998 1
```

Properties
calculated total energy = -0.1043 Ha/atom


[9]
Entry from Alexandria: a relaxed structure of BaLaCd2 (GGA-PBE).

The structure in CIF format:
```
data_BaLaCd2
_chemical_formula_sum 'Ba4 La4 Cd8'
_cell_length_a 7.895
_cell_length_b 7.895
_cell_length_c 7.895
_cell_angle_alpha 90.00
_cell_angle_beta 90.00
_cell_angle_gamma 90.00
_space_group_name_H-M_alt 'F -4 3 m'
_space_group_IT_number 216
_space_group_name_Hall 'F -4 2 3'
loop_
_atom_site_label
_atom_site_type_symbol
_atom_site_fract_x
_atom_site_fract_y
_atom_site_fract_z
_atom_site_occupancy
Ba1 Ba 0.000 0.000 0.000 1
La1 La 0.250 0.250 0.750 1
Cd1 Cd 0.000 0.000 0.500 1
Cd2 Cd 0.250 0.250 0.250 1
```

Properties
calculated total energy = -0.0808 Ha/atom


[10]
Entry from Alexandria: a relaxed structure of Ba2LaCd6 (GGA-PBE).

The structure in CIF format:
```
data_Ba2LaCd6
_chemical_formula_sum 'Ba2 La1 Cd6'
_cell_length_a 9.1295
_cell_length_b 9.1295
_cell_length_c 3.7921
_cell_angle_alpha 90.00
_cell_angle_beta 90.00
_cell_angle_gamma 120.00
_space_group_name_H-M_alt 'P 6/m m m'
_space_group_IT_number 191
_space_group_name_Hall '-P 6 2'
loop_
_atom_site_label
_atom_site_type_symbol
_atom_site_fract_x
_atom_site_fract_y
_atom_site_fract_z
_atom_site_occupancy
Ba1 Ba 0.3333 0.6667 0.0000 1
La1 La 0.0000 0.0000 0.0000 1
Cd1 Cd 0.0000 0.3275 0.5000 1
```

Properties
calculated total energy = -0.0697 Ha/atom


[11]
Entry from Alexandria: a relaxed structure of BaLa3Cd (GGA-PBE).

The structure in CIF format:
```
data_BaLa3Cd
_chemical_formula_sum 'Ba1 La3 Cd1'
_cell_length_a 6.129
_cell_length_b 6.129
_cell_length_c 6.129
_cell_angle_alpha 90.00
_cell_angle_beta 90.00
_cell_angle_gamma 90.00
_space_group_name_H-M_alt 'P m -3 m'
_space_group_IT_number 221
_space_group_name_Hall '-P 4 2 3'
loop_
_atom_site_label
_atom_site_type_symbol
_atom_site_fract_x
_atom_site_fract_y
_atom_site_fract_z
_atom_site_occupancy
Ba1 Ba 0.000 0.000 0.000 1
La1 La 0.000 0.500 0.500 1
Cd1 Cd 0.500 0.500 0.500 1
```

Properties
calculated total energy = -0.1213 Ha/atom


[12]
Entry from Alexandria: a relaxed structure of Ba2LaCd2 (GGA-PBE).

The structure in CIF format:
```
data_Ba2LaCd2
_chemical_formula_sum 'Ba4 La2 Cd4'
_cell_length_a 9.788
_cell_length_b 9.788
_cell_length_c 3.922
_cell_angle_alpha 90.00
_cell_angle_beta 90.00
_cell_angle_gamma 90.00
_space_group_name_H-M_alt 'P 4/m b m'
_space_group_IT_number 127
_space_group_name_Hall '-P 4 2ab'
loop_
_atom_site_label
_atom_site_type_symbol
_atom_site_fract_x
_atom_site_fract_y
_atom_site_fract_z
_atom_site_occupancy
Ba1 Ba 0.137 0.363 0.000 1
La1 La 0.000 0.000 0.000 1
Cd1 Cd 0.162 0.662 0.500 1
```

Properties
calculated total energy = -0.0801 Ha/atom
distance to the lowest polymorph of the same formula = 60 meV per atom


Q: Look up the calculated total energy of the twelfth one.
A: -0.0801 Ha/atom